No. 1
VASP calculation (GGA-PBE) on a relaxed structure of CeDyAg4.

The structure in CIF format:
```
data_CeDyAg4
_symmetry_space_group_name_H-M 'P 1'
_symmetry_Int_Tables_number 1
_cell_length_a 3.677
_cell_length_b 5.427
_cell_length_c 7.750
_cell_angle_alpha 100.79
_cell_angle_beta 76.28
_cell_angle_gamma 70.20
loop_
_symmetry_equiv_pos_as_xyz
'x,y,z'
loop_
_atom_site_label
_atom_site_type_symbol
_atom_site_fract_x
_atom_site_fract_y
_atom_site_fract_z
_atom_site_occupancy
Ag1 Ag 0.846 0.482 0.825 1
Ag2 Ag 0.672 0.001 0.656 1
Ag3 Ag 0.328 0.999 0.344 1
Ag4 Ag 0.154 0.518 0.175 1
Dy1 Dy 0.500 0.500 0.500 1
Ce1 Ce 0.000 0.000 0.000 1
```

Calculated values
Polymorph energy (0 for the lowest one) = 0 meV per atom
Electronic total energy = -3.845 eV per atom
Symmetry = C2/m
Magnetization = 1.0 μB/f.u.
Density = 9.0 g/cm3

---

No. 2
VASP calculation (GGA-PBE) on a relaxed structure of CeDyAg.

The structure in CIF format:
```
data_CeDyAg
_symmetry_space_group_name_H-M 'P 1'
_symmetry_Int_Tables_number 1
_cell_length_a 3.516
_cell_length_b 3.516
_cell_length_c 7.047
_cell_angle_alpha 104.45
_cell_angle_beta 104.45
_cell_angle_gamma 90.00
loop_
_symmetry_equiv_pos_as_xyz
'x,y,z'
loop_
_atom_site_label
_atom_site_type_symbol
_atom_site_fract_x
_atom_site_fract_y
_atom_site_fract_z
_atom_site_occupancy
Dy1 Dy 0.314 0.314 0.629 1
Ag1 Ag 0.674 0.674 0.348 1
Ce1 Ce 0.012 0.012 0.023 1
```

Calculated values
Polymorph energy (0 for the lowest one) = 45 meV per atom
Electronic total energy = -4.528 eV per atom
Symmetry = I4mm
Magnetization = 1.3 μB/f.u.
Density = 8.4 g/cm3

---

No. 3
VASP calculation (GGA-PBE) on a relaxed structure of CeDyAg4.

The structure in CIF format:
```
data_CeDyAg4
_symmetry_space_group_name_H-M 'P 1'
_symmetry_Int_Tables_number 1
_cell_length_a 5.729
_cell_length_b 5.729
_cell_length_c 5.729
_cell_angle_alpha 60.00
_cell_angle_beta 60.00
_cell_angle_gamma 60.00
loop_
_symmetry_equiv_pos_as_xyz
'x,y,z'
loop_
_atom_site_label
_atom_site_type_symbol
_atom_site_fract_x
_atom_site_fract_y
_atom_site_fract_z
_atom_site_occupancy
Ce1 Ce 0.000 0.000 0.000 1
Ag1 Ag 0.625 0.126 0.625 1
Ag2 Ag 0.625 0.625 0.625 1
Ag3 Ag 0.126 0.625 0.625 1
Ag4 Ag 0.625 0.625 0.126 1
Dy1 Dy 0.250 0.250 0.250 1
```

Calculated values
Polymorph energy (0 for the lowest one) = 85 meV per atom
Electronic total energy = -3.760 eV per atom
Symmetry = F-43m
Magnetization = 1.2 μB/f.u.
Density = 9.2 g/cm3

---

No. 4
VASP calculation (GGA-PBE) on a relaxed structure of CeDy3Ag2.

The structure in CIF format:
```
data_CeDy3Ag2
_symmetry_space_group_name_H-M 'P 1'
_symmetry_Int_Tables_number 1
_cell_length_a 3.606
_cell_length_b 3.606
_cell_length_c 12.078
_cell_angle_alpha 90.00
_cell_angle_beta 90.00
_cell_angle_gamma 90.00
loop_
_symmetry_equiv_pos_as_xyz
'x,y,z'
loop_
_atom_site_label
_atom_site_type_symbol
_atom_site_fract_x
_atom_site_fract_y
_atom_site_fract_z
_atom_site_occupancy
Ag1 Ag 0.500 0.500 0.152 1
Ag2 Ag 0.500 0.500 0.848 1
Dy1 Dy 0.000 0.000 0.000 1
Dy2 Dy 0.000 0.000 0.697 1
Dy3 Dy 0.000 0.000 0.303 1
Ce1 Ce 0.500 0.500 0.500 1
```

Calculated values
Electronic total energy = -4.410 eV per atom
Symmetry = P4/mmm
Magnetization = 0.9 μB/f.u.
Density = 8.9 g/cm3

---

No. 5
VASP calculation (GGA-PBE) on a relaxed structure of Ce2DyAg6.

The structure in CIF format:
```
data_Ce2DyAg6
_symmetry_space_group_name_H-M 'P 1'
_symmetry_Int_Tables_number 1
_cell_length_a 3.230
_cell_length_b 8.484
_cell_length_c 8.484
_cell_angle_alpha 60.00
_cell_angle_beta 90.00
_cell_angle_gamma 90.00
loop_
_symmetry_equiv_pos_as_xyz
'x,y,z'
loop_
_atom_site_label
_atom_site_type_symbol
_atom_site_fract_x
_atom_site_fract_y
_atom_site_fract_z
_atom_site_occupancy
Ag1 Ag 0.500 0.000 0.669 1
Ag2 Ag 0.500 0.669 0.000 1
Ag3 Ag 0.500 0.331 0.000 1
Ag4 Ag 0.500 0.669 0.331 1
Ag5 Ag 0.500 0.331 0.669 1
Ag6 Ag 0.500 0.000 0.331 1
Dy1 Dy 0.000 0.000 0.000 1
Ce1 Ce 0.000 0.333 0.333 1
Ce2 Ce 0.000 0.667 0.667 1
```

Calculated values
Electronic total energy = -3.918 eV per atom
Symmetry = P6/mmm
Magnetization = 2.7 μB/f.u.
Density = 9.0 g/cm3

---

No. 6
VASP calculation (GGA-PBE) on a relaxed structure of CeDyAg2.

The structure in CIF format:
```
data_CeDyAg2
_symmetry_space_group_name_H-M 'P 1'
_symmetry_Int_Tables_number 1
_cell_length_a 3.601
_cell_length_b 3.601
_cell_length_c 7.681
_cell_angle_alpha 90.00
_cell_angle_beta 90.00
_cell_angle_gamma 90.00
loop_
_symmetry_equiv_pos_as_xyz
'x,y,z'
loop_
_atom_site_label
_atom_site_type_symbol
_atom_site_fract_x
_atom_site_fract_y
_atom_site_fract_z
_atom_site_occupancy
Dy1 Dy 0.500 0.500 0.000 1
Ag1 Ag 0.000 0.000 0.230 1
Ag2 Ag 0.000 0.000 0.770 1
Ce1 Ce 0.500 0.500 0.500 1
```

Calculated values
Polymorph energy (0 for the lowest one) = 0 meV per atom
Electronic total energy = -4.248 eV per atom
Symmetry = P4/mmm
Magnetization = 1.2 μB/f.u.
Density = 8.6 g/cm3

---

No. 7
VASP calculation (GGA-PBE) on a relaxed structure of CeDy2Ag3.

The structure in CIF format:
```
data_CeDy2Ag3
_symmetry_space_group_name_H-M 'P 1'
_symmetry_Int_Tables_number 1
_cell_length_a 3.618
_cell_length_b 3.618
_cell_length_c 11.293
_cell_angle_alpha 90.00
_cell_angle_beta 90.00
_cell_angle_gamma 90.00
loop_
_symmetry_equiv_pos_as_xyz
'x,y,z'
loop_
_atom_site_label
_atom_site_type_symbol
_atom_site_fract_x
_atom_site_fract_y
_atom_site_fract_z
_atom_site_occupancy
Ag1 Ag 0.000 0.000 0.682 1
Ag2 Ag 0.000 0.000 0.000 1
Ag3 Ag 0.000 0.000 0.318 1
Dy1 Dy 0.500 0.500 0.838 1
Dy2 Dy 0.500 0.500 0.162 1
Ce1 Ce 0.500 0.500 0.500 1
```

Calculated values
Electronic total energy = -4.181 eV per atom
Symmetry = P4/mmm
Magnetization = 1.3 μB/f.u.
Density = 8.9 g/cm3

---

No. 8
VASP calculation (GGA-PBE) on a relaxed structure of CeDyAg2.

The structure in CIF format:
```
data_CeDyAg2
_symmetry_space_group_name_H-M 'P 1'
_symmetry_Int_Tables_number 1
_cell_length_a 5.214
_cell_length_b 5.214
_cell_length_c 5.214
_cell_angle_alpha 60.00
_cell_angle_beta 60.00
_cell_angle_gamma 60.00
loop_
_symmetry_equiv_pos_as_xyz
'x,y,z'
loop_
_atom_site_label
_atom_site_type_symbol
_atom_site_fract_x
_atom_site_fract_y
_atom_site_fract_z
_atom_site_occupancy
Dy1 Dy 0.000 0.000 0.000 1
Ce1 Ce 0.500 0.500 0.500 1
Ag1 Ag 0.250 0.250 0.250 1
Ag2 Ag 0.750 0.750 0.750 1
```

Calculated values
Polymorph energy (0 for the lowest one) = 21 meV per atom
Electronic total energy = -4.227 eV per atom
Symmetry = Fm-3m
Magnetization = 0.9 μB/f.u.
Density = 8.6 g/cm3

---

No. 9
VASP calculation (GGA-PBE) on a relaxed structure of CeDyAg.

The structure in CIF format:
```
data_CeDyAg
_symmetry_space_group_name_H-M 'P 1'
_symmetry_Int_Tables_number 1
_cell_length_a 3.459
_cell_length_b 5.113
_cell_length_c 5.113
_cell_angle_alpha 120.00
_cell_angle_beta 90.00
_cell_angle_gamma 90.00
loop_
_symmetry_equiv_pos_as_xyz
'x,y,z'
loop_
_atom_site_label
_atom_site_type_symbol
_atom_site_fract_x
_atom_site_fract_y
_atom_site_fract_z
_atom_site_occupancy
Ag1 Ag 0.362 0.333 0.667 1
Ce1 Ce 0.023 0.000 0.000 1
Dy1 Dy 0.615 0.667 0.333 1
```

Calculated values
Polymorph energy (0 for the lowest one) = 178 meV per atom
Electronic total energy = -4.395 eV per atom
Symmetry = P3m1
Magnetization = 1.0 μB/f.u.
Density = 8.7 g/cm3

---

No. 10
VASP calculation (GGA-PBE) on a relaxed structure of CeDyAg.

The structure in CIF format:
```
data_CeDyAg
_symmetry_space_group_name_H-M 'P 1'
_symmetry_Int_Tables_number 1
_cell_length_a 3.479
_cell_length_b 5.280
_cell_length_c 8.655
_cell_angle_alpha 90.00
_cell_angle_beta 101.60
_cell_angle_gamma 90.00
loop_
_symmetry_equiv_pos_as_xyz
'x,y,z'
loop_
_atom_site_label
_atom_site_type_symbol
_atom_site_fract_x
_atom_site_fract_y
_atom_site_fract_z
_atom_site_occupancy
Dy1 Dy 0.080 0.250 0.160 1
Dy2 Dy 0.920 0.750 0.840 1
Ag1 Ag 0.426 0.250 0.852 1
Ag2 Ag 0.574 0.750 0.148 1
Ce1 Ce 0.232 0.750 0.463 1
Ce2 Ce 0.768 0.250 0.537 1
```

Calculated values
Polymorph energy (0 for the lowest one) = 0 meV per atom
Electronic total energy = -4.572 eV per atom
Symmetry = Cmcm
Magnetization = 0.8 μB/f.u.
Density = 8.8 g/cm3

---

No. 11
VASP calculation (GGA-PBE) on a relaxed structure of CeDyErAg.

The structure in CIF format:
```
data_CeDyErAg
_symmetry_space_group_name_H-M 'P 1'
_symmetry_Int_Tables_number 1
_cell_length_a 5.286
_cell_length_b 5.286
_cell_length_c 5.286
_cell_angle_alpha 60.00
_cell_angle_beta 60.00
_cell_angle_gamma 60.00
loop_
_symmetry_equiv_pos_as_xyz
'x,y,z'
loop_
_atom_site_label
_atom_site_type_symbol
_atom_site_fract_x
_atom_site_fract_y
_atom_site_fract_z
_atom_site_occupancy
Er1 Er 0.500 0.500 0.500 1
Ce1 Ce 0.750 0.750 0.750 1
Ag1 Ag 0.250 0.250 0.250 1
Dy1 Dy 0.000 0.000 0.000 1
```

Calculated values
Electronic total energy = -4.355 eV per atom
Symmetry = F-43m
Magnetization = 3.0 μB/f.u.
Density = 9.2 g/cm3

---

No. 12
VASP calculation (GGA-PBE) on a relaxed structure of CeGdDyAg.

The structure in CIF format:
```
data_CeGdDyAg
_symmetry_space_group_name_H-M 'P 1'
_symmetry_Int_Tables_number 1
_cell_length_a 5.328
_cell_length_b 5.328
_cell_length_c 5.328
_cell_angle_alpha 60.00
_cell_angle_beta 60.00
_cell_angle_gamma 60.00
loop_
_symmetry_equiv_pos_as_xyz
'x,y,z'
loop_
_atom_site_label
_atom_site_type_symbol
_atom_site_fract_x
_atom_site_fract_y
_atom_site_fract_z
_atom_site_occupancy
Ag1 Ag 0.500 0.500 0.500 1
Gd1 Gd 0.250 0.250 0.250 1
Dy1 Dy 0.750 0.750 0.750 1
Ce1 Ce 0.000 0.000 0.000 1
```

Calculated values
Electronic total energy = -6.762 eV per atom
Symmetry = F-43m
Magnetization = 10.4 μB/f.u.
Density = 8.8 g/cm3

---

No. 13
VASP calculation (GGA-PBE) on a relaxed structure of Ce2DyAg2Hg2.

The structure in CIF format:
```
data_Ce2DyAg2Hg2
_symmetry_space_group_name_H-M 'P 1'
_symmetry_Int_Tables_number 1
_cell_length_a 4.874
_cell_length_b 4.874
_cell_length_c 8.546
_cell_angle_alpha 73.43
_cell_angle_beta 73.43
_cell_angle_gamma 60.00
loop_
_symmetry_equiv_pos_as_xyz
'x,y,z'
loop_
_atom_site_label
_atom_site_type_symbol
_atom_site_fract_x
_atom_site_fract_y
_atom_site_fract_z
_atom_site_occupancy
Hg1 Hg 0.726 0.726 0.821 1
Hg2 Hg 0.274 0.274 0.179 1
Ag1 Ag 0.414 0.414 0.759 1
Ag2 Ag 0.586 0.586 0.241 1
Dy1 Dy 0.000 0.000 0.000 1
Ce1 Ce 0.141 0.141 0.576 1
Ce2 Ce 0.859 0.859 0.424 1
```

Calculated values
Electronic total energy = -3.438 eV per atom
Symmetry = R-3m
Magnetization = 2.1 μB/f.u.
Density = 10.6 g/cm3

---

No. 14
VASP calculation (GGA-PBE) on a relaxed structure of CeDy2AgHg4.

The structure in CIF format:
```
data_CeDy2AgHg4
_symmetry_space_group_name_H-M 'P 1'
_symmetry_Int_Tables_number 1
_cell_length_a 5.092
_cell_length_b 5.092
_cell_length_c 9.449
_cell_angle_alpha 74.37
_cell_angle_beta 74.37
_cell_angle_gamma 60.00
loop_
_symmetry_equiv_pos_as_xyz
'x,y,z'
loop_
_atom_site_label
_atom_site_type_symbol
_atom_site_fract_x
_atom_site_fract_y
_atom_site_fract_z
_atom_site_occupancy
Hg1 Hg 0.620 0.620 0.141 1
Hg2 Hg 0.125 0.125 0.624 1
Hg3 Hg 0.875 0.875 0.376 1
Hg4 Hg 0.380 0.380 0.859 1
Dy1 Dy 0.240 0.240 0.279 1
Dy2 Dy 0.760 0.760 0.721 1
Ce1 Ce 0.000 0.000 0.000 1
Ag1 Ag 0.500 0.500 0.500 1
```

Calculated values
Electronic total energy = -2.728 eV per atom
Symmetry = R-3m
Magnetization = 1.2 μB/f.u.
Density = 11.3 g/cm3